No. 1
An optimized crystal structure of Na2IrO4. Source: Alexandria, functional GGA-PBE.

Results
magnetic moment	1.0	μB/f.u.
formation energy without anion corrections	-94	kJ per mole of atoms

CIF file:
```
data_Na2IrO4
_chemical_formula_sum 'Na8 Ir4 O16'
_space_group_name_H-M_alt 'F m m 2'
_space_group_IT_number 42
_space_group_name_Hall 'F 2 -2'
_cell_length_a 7.615
_cell_length_b 8.764
_cell_length_c 7.195
_cell_angle_alpha 90.00
_cell_angle_beta 90.00
_cell_angle_gamma 90.00
loop_
_atom_site_label
_atom_site_type_symbol
_atom_site_fract_x
_atom_site_fract_y
_atom_site_fract_z
Na1 Na 0.250 0.250 0.000
Ir1 Ir 0.000 0.000 0.278
O1 O 0.000 0.197 0.192
O2 O 0.221 0.000 0.375
```

=====

No. 2
An optimized crystal structure of NaIrO3. Source: Alexandria, functional GGA-PBE.

Results
magnetic moment	0.4	μB/f.u.
formation energy without anion corrections	-101	kJ per mole of atoms

CIF file:
```
data_NaIrO3
_chemical_formula_sum 'Na4 Ir4 O12'
_space_group_name_H-M_alt 'C m c m'
_space_group_IT_number 63
_space_group_name_Hall '-C 2c 2'
_cell_length_a 3.111
_cell_length_b 10.421
_cell_length_c 7.230
_cell_angle_alpha 90.00
_cell_angle_beta 90.00
_cell_angle_gamma 90.00
loop_
_atom_site_label
_atom_site_type_symbol
_atom_site_fract_x
_atom_site_fract_y
_atom_site_fract_z
Na1 Na 0.000 0.248 0.250
Ir1 Ir 0.000 0.500 0.000
O1 O 0.000 0.113 0.558
O2 O 0.000 0.427 0.750
```

=====

No. 3
An optimized crystal structure of NaIr3O. Source: Alexandria, functional GGA-PBE.

Results
magnetic moment	0.0	μB/f.u.
formation energy without anion corrections	76	kJ per mole of atoms

CIF file:
```
data_NaIr3O
_chemical_formula_sum 'Na1 Ir3 O1'
_space_group_name_H-M_alt 'P m -3 m'
_space_group_IT_number 221
_space_group_name_Hall '-P 4 2 3'
_cell_length_a 4.176
_cell_length_b 4.176
_cell_length_c 4.176
_cell_angle_alpha 90.00
_cell_angle_beta 90.00
_cell_angle_gamma 90.00
loop_
_atom_site_label
_atom_site_type_symbol
_atom_site_fract_x
_atom_site_fract_y
_atom_site_fract_z
Na1 Na 0.000 0.000 0.000
Ir1 Ir 0.000 0.500 0.500
O1 O 0.500 0.500 0.500
```

=====

No. 4
An optimized crystal structure of Na2IrO4. Source: Alexandria, functional GGA-PBE.

Results
magnetic moment	1.8	μB/f.u.
formation energy without anion corrections	-97	kJ per mole of atoms

CIF file:
```
data_Na2IrO4
_chemical_formula_sum 'Na4 Ir2 O8'
_space_group_name_H-M_alt 'I 4/m m m'
_space_group_IT_number 139
_space_group_name_Hall '-I 4 2'
_cell_length_a 3.877
_cell_length_b 3.877
_cell_length_c 12.153
_cell_angle_alpha 90.00
_cell_angle_beta 90.00
_cell_angle_gamma 90.00
loop_
_atom_site_label
_atom_site_type_symbol
_atom_site_fract_x
_atom_site_fract_y
_atom_site_fract_z
Na1 Na 0.000 0.000 0.154
Ir1 Ir 0.000 0.000 0.500
O1 O 0.000 0.000 0.343
O2 O 0.000 0.500 0.000
```

=====

No. 5
An optimized crystal structure of Na3IrO4. Source: Alexandria, functional GGA-PBE.

Results
magnetic moment	2.0	μB/f.u.
formation energy without anion corrections	-114	kJ per mole of atoms

CIF file:
```
data_Na3IrO4
_chemical_formula_sum 'Na6 Ir2 O8'
_space_group_name_H-M_alt 'I 4/m m m'
_space_group_IT_number 139
_space_group_name_Hall '-I 4 2'
_cell_length_a 5.861
_cell_length_b 5.861
_cell_length_c 6.553
_cell_angle_alpha 90.00
_cell_angle_beta 90.00
_cell_angle_gamma 90.00
loop_
_atom_site_label
_atom_site_type_symbol
_atom_site_fract_x
_atom_site_fract_y
_atom_site_fract_z
Na1 Na 0.000 0.000 0.000
Na2 Na 0.000 0.500 0.250
Ir1 Ir 0.000 0.000 0.500
O1 O 0.226 0.226 0.500
```

=====

No. 6
An optimized crystal structure of Na4IrO4. Source: Alexandria, functional GGA-PBE.

Results
magnetic moment	3.0	μB/f.u.
formation energy without anion corrections	-105	kJ per mole of atoms

CIF file:
```
data_Na4IrO4
_chemical_formula_sum 'Na8 Ir2 O8'
_space_group_name_H-M_alt 'I 4/m m m'
_space_group_IT_number 139
_space_group_name_Hall '-I 4 2'
_cell_length_a 6.118
_cell_length_b 6.118
_cell_length_c 8.582
_cell_angle_alpha 90.00
_cell_angle_beta 90.00
_cell_angle_gamma 90.00
loop_
_atom_site_label
_atom_site_type_symbol
_atom_site_fract_x
_atom_site_fract_y
_atom_site_fract_z
Na1 Na 0.000 0.000 0.157
Na2 Na 0.000 0.500 0.000
Ir1 Ir 0.000 0.000 0.500
O1 O 0.225 0.225 0.500
```

=====

No. 7
An optimized crystal structure of NaIrO2. Source: Alexandria, functional GGA-PBE.

Results
magnetic moment	0.0	μB/f.u.
formation energy without anion corrections	-55	kJ per mole of atoms

CIF file:
```
data_NaIrO2
_chemical_formula_sum 'Na4 Ir4 O8'
_space_group_name_H-M_alt 'I -4 2 d'
_space_group_IT_number 122
_space_group_name_Hall 'I -4 2bw'
_cell_length_a 4.585
_cell_length_b 4.585
_cell_length_c 11.244
_cell_angle_alpha 90.00
_cell_angle_beta 90.00
_cell_angle_gamma 90.00
loop_
_atom_site_label
_atom_site_type_symbol
_atom_site_fract_x
_atom_site_fract_y
_atom_site_fract_z
Na1 Na 0.000 0.000 0.000
Ir1 Ir 0.000 0.000 0.500
O1 O 0.176 0.250 0.625
```

=====

No. 8
An optimized crystal structure of Na3IrO3. Source: Alexandria, functional GGA-PBE.

Results
magnetic moment	1.0	μB/f.u.
formation energy without anion corrections	-94	kJ per mole of atoms

CIF file:
```
data_Na3IrO3
_chemical_formula_sum 'Na12 Ir4 O12'
_space_group_name_H-M_alt 'C 1 2/m 1'
_space_group_IT_number 12
_cell_length_a 8.074
_cell_length_b 9.542
_cell_length_c 6.315
_cell_angle_alpha 90.00
_cell_angle_beta 110.12
_cell_angle_gamma 90.00
loop_
_space_group_symop_operation_xyz
'x,y,z'
'-x,-y,-z'
'-x,y,-z'
'x,-y,z'
'x+1/2,y+1/2,z'
'-x+1/2,-y+1/2,-z'
'-x+1/2,y+1/2,-z'
'x+1/2,-y+1/2,z'
loop_
_atom_site_label
_atom_site_type_symbol
_atom_site_fract_x
_atom_site_fract_y
_atom_site_fract_z
Na1 Na 0.000 0.181 0.000
Na2 Na 0.000 0.245 0.500
Na3 Na 0.134 0.500 0.923
Ir1 Ir 0.232 0.500 0.465
O1 O 0.133 0.358 0.242
O2 O 0.145 0.000 0.231
```